# ThSeO, optimized geometry, DFT PBE-GGA
data_ThSeO
_chemical_formula_sum 'Th1 Se1 O1'
_space_group_name_H-M_alt 'P -6 m 2'
_space_group_IT_number 187
_space_group_name_Hall 'P -6 2'
_cell_length_a 3.9983
_cell_length_b 3.9983
_cell_length_c 4.3838
_cell_angle_alpha 90.00
_cell_angle_beta 90.00
_cell_angle_gamma 120.00
loop_
_atom_site_label
_atom_site_type_symbol
_atom_site_fract_x
_atom_site_fract_y
_atom_site_fract_z
Th1 Th 0.0000 0.0000 0.0000
Se1 Se 0.6667 0.3333 0.5000
O1 O 0.3333 0.6667 0.0000
# energy above the lowest structure with this stoichiometry: 0.102 eV per atom
# M_tot: 0.000 μB per atom
# raw formation energy: -2813 meV/atom
# VASP energy: -24.30 eV per cell
# crystal system: hexagonal

# SrTcAs, optimized geometry, DFT PBE-GGA
data_SrTcAs
_chemical_formula_sum 'Sr1 Tc1 As1'
_space_group_name_H-M_alt 'P -6 m 2'
_space_group_IT_number 187
_space_group_name_Hall 'P -6 2'
_cell_length_a 4.1903
_cell_length_b 4.1903
_cell_length_c 4.8520
_cell_angle_alpha 90.00
_cell_angle_beta 90.00
_cell_angle_gamma 120.00
loop_
_atom_site_label
_atom_site_type_symbol
_atom_site_fract_x
_atom_site_fract_y
_atom_site_fract_z
Sr1 Sr 0.0000 0.0000 0.0000
Tc1 Tc 0.3333 0.6667 0.5000
As1 As 0.6667 0.3333 0.5000
# energy above the lowest structure with this stoichiometry: 0.258 eV per atom
# M_tot: 0.000 μB per atom
# DFT formation energy: -0.236 eV per atom
# VASP energy: -17.41 eV per cell
# crystal system: hexagonal

# TiGaRh5, optimized geometry, DFT PBE-GGA
data_TiGaRh5
_chemical_formula_sum 'Ti1 Ga1 Rh5'
_space_group_name_H-M_alt 'P 4/m m m'
_space_group_IT_number 123
_space_group_name_Hall '-P 4 2'
_cell_length_a 4.0024
_cell_length_b 4.0024
_cell_length_c 6.6109
_cell_angle_alpha 90.00
_cell_angle_beta 90.00
_cell_angle_gamma 90.00
loop_
_atom_site_label
_atom_site_type_symbol
_atom_site_fract_x
_atom_site_fract_y
_atom_site_fract_z
Ti1 Ti 0.0000 0.0000 0.0000
Ga1 Ga 0.5000 0.5000 0.5000
Rh1 Rh 0.0000 0.5000 0.2710
Rh2 Rh 0.5000 0.5000 0.0000
# energy above the lowest structure with this stoichiometry: 0.000 eV per atom
# M_tot: 0.000 μB per atom
# DFT formation energy: -0.386 eV per atom
# VASP energy: -50.38 eV per cell
# crystal system: tetragonal

# RbGe2Rh2, optimized geometry, DFT PBE-GGA
data_RbGe2Rh2
_chemical_formula_sum 'Rb2 Ge4 Rh4'
_space_group_name_H-M_alt 'P 4/m b m'
_space_group_IT_number 127
_space_group_name_Hall '-P 4 2ab'
_cell_length_a 7.9880
_cell_length_b 7.9880
_cell_length_c 2.9063
_cell_angle_alpha 90.00
_cell_angle_beta 90.00
_cell_angle_gamma 90.00
loop_
_atom_site_label
_atom_site_type_symbol
_atom_site_fract_x
_atom_site_fract_y
_atom_site_fract_z
Rb1 Rb 0.0000 0.0000 0.0000
Ge1 Ge 0.1408 0.3592 0.5000
Rh1 Rh 0.1326 0.6326 0.0000
# energy above the lowest structure with this stoichiometry: 0.355 eV per atom
# M_tot: 0.000 μB per atom
# DFT formation energy: -0.070 eV per atom
# VASP energy: -50.51 eV per cell
# crystal system: tetragonal

# Sc2ReB, optimized geometry, DFT PBE-GGA
data_Sc2ReB
_chemical_formula_sum 'Sc2 Re1 B1'
_space_group_name_H-M_alt 'P 3 m 1'
_space_group_IT_number 156
_space_group_name_Hall 'P 3 -2"'
_cell_length_a 3.2445
_cell_length_b 3.2445
_cell_length_c 7.5994
_cell_angle_alpha 90.00
_cell_angle_beta 90.00
_cell_angle_gamma 120.00
loop_
_atom_site_label
_atom_site_type_symbol
_atom_site_fract_x
_atom_site_fract_y
_atom_site_fract_z
Sc1 Sc 0.0000 0.0000 0.0000
Sc2 Sc 0.3333 0.6667 0.3857
Re1 Re 0.6667 0.3333 0.7108
B1 B 0.0000 0.0000 0.5750
# M_tot: 0.000 μB per atom
# DFT formation energy: -0.182 eV per atom
# VASP energy: -32.52 eV per cell
# crystal system: trigonal

# DyHgF, optimized geometry, DFT PBE-GGA
data_DyHgF
_chemical_formula_sum 'Dy1 Hg1 F1'
_space_group_name_H-M_alt 'P -6 m 2'
_space_group_IT_number 187
_space_group_name_Hall 'P -6 2'
_cell_length_a 3.9193
_cell_length_b 3.9193
_cell_length_c 4.9264
_cell_angle_alpha 90.00
_cell_angle_beta 90.00
_cell_angle_gamma 120.00
loop_
_atom_site_label
_atom_site_type_symbol
_atom_site_fract_x
_atom_site_fract_y
_atom_site_fract_z
Dy1 Dy 0.0000 0.0000 0.0000
Hg1 Hg 0.3333 0.6667 0.5000
F1 F 0.6667 0.3333 0.0000
# M_tot: 0.000 μB per atom
# raw formation energy: -1789 meV/atom
# VASP energy: -12.14 eV per cell
# crystal system: hexagonal

# TbDyZr2, optimized geometry, DFT PBE-GGA
data_TbDyZr2
_chemical_formula_sum 'Tb3 Dy3 Zr6'
_space_group_name_H-M_alt 'R -3 m'
_space_group_IT_number 166
_space_group_name_Hall '-R 3 2"'
_cell_length_a 3.3438
_cell_length_b 3.3438
_cell_length_c 32.9333
_cell_angle_alpha 90.00
_cell_angle_beta 90.00
_cell_angle_gamma 120.00
loop_
_atom_site_label
_atom_site_type_symbol
_atom_site_fract_x
_atom_site_fract_y
_atom_site_fract_z
Tb1 Tb 0.0000 0.0000 0.0000
Dy1 Dy 0.0000 0.0000 0.5000
Zr1 Zr 0.0000 0.0000 0.2499
# energy above the lowest structure with this stoichiometry: 0.010 eV per atom
# M_tot: 0.000 μB per atom
# DFT formation energy: 0.130 eV per atom
# VASP energy: -77.43 eV per cell
# crystal system: trigonal

# SrFe3Bi, optimized geometry, DFT PBE-GGA
data_SrFe3Bi
_chemical_formula_sum 'Sr1 Fe3 Bi1'
_space_group_name_H-M_alt 'P m -3 m'
_space_group_IT_number 221
_space_group_name_Hall '-P 4 2 3'
_cell_length_a 5.0112
_cell_length_b 5.0112
_cell_length_c 5.0112
_cell_angle_alpha 90.00
_cell_angle_beta 90.00
_cell_angle_gamma 90.00
loop_
_atom_site_label
_atom_site_type_symbol
_atom_site_fract_x
_atom_site_fract_y
_atom_site_fract_z
Sr1 Sr 0.0000 0.0000 0.0000
Fe1 Fe 0.0000 0.5000 0.5000
Bi1 Bi 0.5000 0.5000 0.5000
# energy above the lowest structure with this stoichiometry: 0.000 eV per atom
# M_tot: 1.418 μB per atom
# DFT formation energy: 1.022 eV per atom
# VASP energy: -25.84 eV per cell
# crystal system: cubic

Computed calculated density, in the same sequence as the records: 8.9 5.9 9.9 7.8 6.9 9.7 7.9 6.1 Mg/m³.